The following is a DFT calculation (GGA-PBE) of a relaxed Li2ZrInH crystal.

Lattice parameters (Å, degrees): 4.1926 4.1926 4.4763 90.00 90.00 90.00
With the nearest neighbours (Å) after each atom.
Sites, in units of the cell vectors:
H: 0.0000 0.0000 0.0000  4 Li 2.10, 2 Zr 2.24
Li: 0.0000 0.5000 0.0000  2 H 2.10
Li: 0.5000 0.0000 0.0000  2 H 2.10
Zr: 0.0000 0.0000 0.5000  2 H 2.24
In: 0.5000 0.5000 0.5000  4 Zr 2.96, 8 Li 3.07

Results
Theoretical density, g/cm³: 4.663
M_tot, μB/atom: 0.000
Space-group type: P4/mmm (123)
Crystal system: tetragonal
Total energy, eV/cell: -19.7

---

The following is a DFT calculation (GGA-PBE) of a relaxed Ba2CeTa3O12 crystal.

Lattice parameters (Å, degrees): 7.2276 7.2276 7.2276 63.44 63.44 63.44
With the nearest neighbours (Å) after each atom.
Sites, in units of the cell vectors:
Ba: 0.6293 0.6293 0.6293  3 O 2.69
Ba: 0.3707 0.3707 0.3707  3 O 2.69
Ce: 0.0000 0.0000 0.0000  6 O 2.33
Ta: 0.5000 0.0000 0.0000  6 O 1.98-2.00
Ta: 0.0000 0.5000 0.0000  6 O 1.98-2.00
Ta: 0.0000 0.0000 0.5000  6 O 1.98-2.00
O: 0.2896 0.2896 0.9159  2 Ta 1.98
O: 0.8864 0.8864 0.3792  1 Ta 2.00
O: 0.3792 0.8864 0.8864  1 Ta 2.00
O: 0.9159 0.2896 0.2896  2 Ta 1.98
O: 0.8864 0.3792 0.8864  1 Ta 2.00
O: 0.2896 0.9159 0.2896  2 Ta 1.98
O: 0.7104 0.7104 0.0841  2 Ta 1.98
O: 0.1136 0.1136 0.6208  1 Ta 2.00
O: 0.6208 0.1136 0.1136  1 Ta 2.00
O: 0.0841 0.7104 0.7104  2 Ta 1.98
O: 0.1136 0.6208 0.1136  1 Ta 2.00
O: 0.7104 0.0841 0.7104  2 Ta 1.98

Results
Theoretical density, g/cm³: 6.645
M_tot, μB/atom: 0.051
Space-group type: R-3m (166)
Crystal system: trigonal
Total energy, eV/cell: -155.8
Formation energy (no corrections), meV per atom: -2833.0

---

The following is a DFT calculation (GGA-PBE) of a relaxed La2TaRh crystal.

Lattice parameters (Å, degrees): 3.5541 4.7177 5.4309 90.00 90.00 90.00
With the nearest neighbours (Å) after each atom.
Sites, in units of the cell vectors:
La: 0.0000 0.0000 0.0000  4 Rh 2.95, 4 La 3.25
La: 0.5000 0.0000 0.5000  4 Ta 2.95, 4 La 3.25
Ta: 0.0000 0.5000 0.5000  4 La 2.95, 4 Rh 3.25
Rh: 0.5000 0.5000 0.0000  4 La 2.95, 4 Ta 3.25

Results
Theoretical density, g/cm³: 10.242
M_tot, μB/atom: 0.000
Space-group type: Pmmm (47)
Crystal system: orthorhombic
DFT formation energy, eV/atom: 0.21
Total energy, eV/cell: -28.2
E above lowest polymorph, meV per atom: 342

---

The following is a DFT calculation (GGA-PBE) of a relaxed VMo3C crystal.

Lattice parameters (Å, degrees): 4.4776 4.4776 4.4776 90.00 90.00 90.00
With the nearest neighbours (Å) after each atom.
Sites, in units of the cell vectors:
Mo: 0.0000 0.5000 0.0000  2 V 2.24
Mo: 0.0000 0.0000 0.5000  2 V 2.24
Mo: 0.5000 0.0000 0.0000  2 V 2.24
C: 0.5000 0.5000 0.5000  12 Mo 3.17
V: 0.0000 0.0000 0.0000  6 Mo 2.24

Results
Theoretical density, g/cm³: 6.489
M_tot, μB/atom: 0.000
Space-group type: Pm-3m (221)
Crystal system: cubic
DFT formation energy, eV/atom: 2.55
Total energy, eV/cell: -38.1
E above lowest polymorph, meV per atom: 2379

---

Repeat the second record exactly.
The following is a DFT calculation (GGA-PBE) of a relaxed Ba2CeTa3O12 crystal.

Lattice parameters (Å, degrees): 7.2276 7.2276 7.2276 63.44 63.44 63.44
With the nearest neighbours (Å) after each atom.
Sites, in units of the cell vectors:
Ba: 0.6293 0.6293 0.6293  3 O 2.69
Ba: 0.3707 0.3707 0.3707  3 O 2.69
Ce: 0.0000 0.0000 0.0000  6 O 2.33
Ta: 0.5000 0.0000 0.0000  6 O 1.98-2.00
Ta: 0.0000 0.5000 0.0000  6 O 1.98-2.00
Ta: 0.0000 0.0000 0.5000  6 O 1.98-2.00
O: 0.2896 0.2896 0.9159  2 Ta 1.98
O: 0.8864 0.8864 0.3792  1 Ta 2.00
O: 0.3792 0.8864 0.8864  1 Ta 2.00
O: 0.9159 0.2896 0.2896  2 Ta 1.98
O: 0.8864 0.3792 0.8864  1 Ta 2.00
O: 0.2896 0.9159 0.2896  2 Ta 1.98
O: 0.7104 0.7104 0.0841  2 Ta 1.98
O: 0.1136 0.1136 0.6208  1 Ta 2.00
O: 0.6208 0.1136 0.1136  1 Ta 2.00
O: 0.0841 0.7104 0.7104  2 Ta 1.98
O: 0.1136 0.6208 0.1136  1 Ta 2.00
O: 0.7104 0.0841 0.7104  2 Ta 1.98

Results
Theoretical density, g/cm³: 6.645
M_tot, μB/atom: 0.051
Space-group type: R-3m (166)
Crystal system: trigonal
Total energy, eV/cell: -155.8
Formation energy (no corrections), meV per atom: -2833.0

---

Which value of total energy does entry 2 give?
-155.8 eV/cell